(1)
VASP calculation (PBE-GGA) on Th3Zn2Ni4 after structural relaxation.

The structure in POSCAR format:
```
Th3Zn2Ni4
1.0
4.921 -2.105 0.000
4.921 2.105 0.000
-0.843 0.000 8.224
Th Zn Ni
3 2 4
direct
0.000 0.000 0.000
0.375 0.375 0.620
0.625 0.625 0.380
0.323 0.323 0.216
0.677 0.677 0.784
0.085 0.085 0.636
0.274 0.274 0.914
0.726 0.726 0.086
0.915 0.915 0.364
```

Calculated values
Offset from the most stable computed form (eV per atom): 0.004
Formation energy (eV/atom): -0.4119

(2)
VASP calculation (PBE-GGA) on ThZn2Ni after structural relaxation.

The structure in POSCAR format:
```
ThZn2Ni
1.0
4.156 0.000 0.000
-2.078 3.599 0.000
0.000 0.000 15.296
Th Zn Ni
3 6 3
direct
0.000 0.000 0.000
0.333 0.667 0.667
0.667 0.333 0.333
0.000 0.000 0.207
0.000 0.000 0.793
0.333 0.667 0.460
0.333 0.667 0.873
0.667 0.333 0.127
0.667 0.333 0.540
0.000 0.000 0.500
0.333 0.667 0.167
0.667 0.333 0.833
```

Calculated values
Formation energy (eV/atom): -0.2177

(3)
VASP calculation (PBE-GGA) on ThZn2Ni4 after structural relaxation.

The structure in POSCAR format:
```
ThZn2Ni4
1.0
6.311 0.000 0.000
0.000 6.311 0.000
0.000 0.000 5.071
Th Zn Ni
2 4 8
direct
0.000 0.000 0.000
0.500 0.500 0.500
0.000 0.500 0.250
0.000 0.500 0.750
0.500 0.000 0.250
0.500 0.000 0.750
0.193 0.193 0.500
0.193 0.807 0.500
0.307 0.307 0.000
0.307 0.693 0.000
0.693 0.307 0.000
0.693 0.693 0.000
0.807 0.193 0.500
0.807 0.807 0.500
```

Calculated values
Offset from the most stable computed form (eV per atom): 0.000
Formation energy (eV/atom): -0.3607

(4)
VASP calculation (PBE-GGA) on Th3Zn2Ni7 after structural relaxation.

The structure in POSCAR format:
```
Th3Zn2Ni7
1.0
2.585 1.493 8.239
-2.585 1.493 8.239
0.000 -2.985 8.239
Th Zn Ni
3 2 7
direct
0.000 0.000 0.000
0.140 0.140 0.140
0.860 0.860 0.860
0.332 0.332 0.332
0.668 0.668 0.668
0.087 0.580 0.580
0.420 0.420 0.913
0.420 0.913 0.420
0.500 0.500 0.500
0.580 0.087 0.580
0.580 0.580 0.087
0.913 0.420 0.420
```

Calculated values
Formation energy (eV/atom): -0.3884

(5)
VASP calculation (PBE-GGA) on Th2Zn2Ni3 after structural relaxation.

The structure in POSCAR format:
```
Th2Zn2Ni3
1.0
1.950 -8.947 0.000
1.950 8.947 0.000
0.000 0.000 7.295
Th Zn Ni
4 4 6
direct
0.062 0.938 0.750
0.148 0.852 0.250
0.852 0.148 0.750
0.938 0.062 0.250
0.307 0.693 0.062
0.307 0.693 0.438
0.693 0.307 0.562
0.693 0.307 0.938
0.232 0.768 0.750
0.440 0.560 0.568
0.440 0.560 0.932
0.560 0.440 0.068
0.560 0.440 0.432
0.768 0.232 0.250
```

Calculated values
Offset from the most stable computed form (eV per atom): 0.000
Formation energy (eV/atom): -0.4163

(6)
VASP calculation (PBE-GGA) on Th3ZnNi after structural relaxation.

The structure in POSCAR format:
```
Th3ZnNi
1.0
3.964 -7.052 0.000
3.964 7.052 0.000
0.000 0.000 4.908
Th Zn Ni
6 2 2
direct
0.000 0.500 0.500
0.123 0.877 0.000
0.314 0.314 0.500
0.500 0.000 0.500
0.686 0.686 0.500
0.877 0.123 0.000
0.361 0.639 0.000
0.639 0.361 0.000
0.089 0.911 0.500
0.911 0.089 0.500
```

Calculated values
Formation energy (eV/atom): 0.0028

(7)
VASP calculation (PBE-GGA) on ThZn6Ni12 after structural relaxation.

The structure in POSCAR format:
```
ThZn6Ni12
1.0
5.283 3.050 2.675
-5.283 3.050 2.675
0.000 -6.100 2.675
Th Zn Ni
1 6 12
direct
0.000 0.000 0.000
0.290 0.290 0.707
0.290 0.707 0.290
0.293 0.710 0.710
0.707 0.290 0.290
0.710 0.293 0.710
0.710 0.710 0.293
0.111 0.500 0.889
0.111 0.889 0.500
0.127 0.371 0.371
0.371 0.127 0.371
0.371 0.371 0.127
0.500 0.111 0.889
0.500 0.889 0.111
0.629 0.629 0.873
0.629 0.873 0.629
0.873 0.629 0.629
0.889 0.111 0.500
0.889 0.500 0.111
```

Calculated values
Formation energy (eV/atom): -0.0284

(8)
VASP calculation (PBE-GGA) on ThZn2Ni5 after structural relaxation.

The structure in POSCAR format:
```
ThZn2Ni5
1.0
3.771 0.000 0.000
0.000 6.146 0.000
0.000 0.000 10.194
Th Zn Ni
2 4 10
direct
0.000 0.000 0.000
0.500 0.500 0.500
0.000 0.500 0.233
0.000 0.500 0.767
0.500 0.000 0.267
0.500 0.000 0.733
0.000 0.198 0.379
0.000 0.198 0.621
0.000 0.500 0.000
0.000 0.802 0.379
0.000 0.802 0.621
0.500 0.000 0.500
0.500 0.302 0.121
0.500 0.302 0.879
0.500 0.698 0.121
0.500 0.698 0.879
```

Calculated values
Formation energy (eV/atom): -0.2034

(9)
VASP calculation (PBE-GGA) on Th3Zn5Ni6 after structural relaxation.

The structure in POSCAR format:
```
Th3Zn5Ni6
1.0
-2.143 4.407 6.198
2.143 -4.407 6.198
2.143 4.407 -6.198
Th Zn Ni
3 5 6
direct
0.000 0.000 0.000
0.320 0.320 0.000
0.680 0.680 0.000
0.026 0.679 0.348
0.331 0.679 0.652
0.500 0.000 0.500
0.669 0.321 0.348
0.974 0.321 0.652
0.161 0.890 0.271
0.290 0.500 0.790
0.380 0.110 0.271
0.620 0.890 0.729
0.710 0.500 0.210
0.839 0.110 0.729
```

Calculated values
Formation energy (eV/atom): -0.3928

(10)
VASP calculation (PBE-GGA) on ThZnNi after structural relaxation.

The structure in POSCAR format:
```
ThZnNi
1.0
3.295 0.000 0.000
0.000 3.295 0.000
0.000 0.000 10.566
Th Zn Ni
2 2 2
direct
0.000 0.000 0.000
0.500 0.500 0.500
0.000 0.000 0.710
0.500 0.500 0.210
0.000 0.000 0.319
0.500 0.500 0.819
```

Calculated values
Formation energy (eV/atom): -0.1750

(11)
VASP calculation (PBE-GGA) on Th2Zn15Ni2 after structural relaxation.

The structure in POSCAR format:
```
Th2Zn15Ni2
1.0
4.491 2.593 4.376
-4.491 2.593 4.376
0.000 -5.186 4.376
Th Zn Ni
2 15 2
direct
0.165 0.165 0.165
0.835 0.835 0.835
0.000 0.500 0.500
0.152 0.152 0.654
0.152 0.654 0.152
0.220 0.500 0.780
0.220 0.780 0.500
0.346 0.848 0.848
0.500 0.000 0.500
0.500 0.220 0.780
0.500 0.500 0.000
0.500 0.780 0.220
0.654 0.152 0.152
0.780 0.220 0.500
0.780 0.500 0.220
0.848 0.346 0.848
0.848 0.848 0.346
0.389 0.389 0.389
0.611 0.611 0.611
```

Calculated values
Formation energy (eV/atom): -0.2277

(12)
VASP calculation (PBE-GGA) on Th3ZnNi8 after structural relaxation.

The structure in POSCAR format:
```
Th3ZnNi8
1.0
2.540 1.467 8.399
-2.540 1.467 8.399
0.000 -2.933 8.399
Th Zn Ni
3 1 8
direct
0.000 0.000 0.000
0.129 0.129 0.129
0.522 0.522 0.522
0.645 0.645 0.645
0.070 0.569 0.569
0.074 0.074 0.566
0.074 0.566 0.074
0.320 0.320 0.320
0.566 0.074 0.074
0.569 0.070 0.569
0.569 0.569 0.070
0.820 0.820 0.820
```

Calculated values
Formation energy (eV/atom): -0.4027

(13)
VASP calculation (PBE-GGA) on Th3Zn2Ni4 after structural relaxation.

The structure in POSCAR format:
```
Th3Zn2Ni4
1.0
5.515 -2.042 0.000
5.515 2.042 0.000
-3.526 0.000 7.607
Th Zn Ni
3 2 4
direct
0.000 0.000 0.000
0.364 0.364 0.302
0.636 0.636 0.698
0.336 0.336 0.665
0.664 0.664 0.335
0.072 0.072 0.413
0.287 0.287 0.936
0.713 0.713 0.064
0.928 0.928 0.587
```

Calculated values
Offset from the most stable computed form (eV per atom): 0.000
Formation energy (eV/atom): -0.4163

(14)
VASP calculation (PBE-GGA) on ThZn11Ni after structural relaxation.

The structure in POSCAR format:
```
ThZn11Ni
1.0
2.578 -6.330 0.000
2.578 6.330 0.000
-2.568 0.000 6.296
Th Zn Ni
1 11 1
direct
0.000 0.000 0.000
0.000 0.000 0.500
0.000 0.500 0.000
0.025 0.373 0.361
0.284 0.502 0.774
0.373 0.025 0.361
0.498 0.716 0.226
0.500 0.000 0.000
0.502 0.284 0.774
0.627 0.975 0.639
0.716 0.498 0.226
0.975 0.627 0.639
0.500 0.500 0.500
```

Calculated values
Formation energy (eV/atom): -0.1936

(15)
VASP calculation (PBE-GGA) on ThZnNi after structural relaxation.

The structure in POSCAR format:
```
ThZnNi
1.0
4.361 0.000 0.000
-2.180 3.777 0.000
0.000 0.000 3.601
Th Zn Ni
1 1 1
direct
0.000 0.000 0.000
0.333 0.667 0.500
0.667 0.333 0.500
```

Calculated values
Formation energy (eV/atom): -0.3642

(16)
VASP calculation (PBE-GGA) on Th2Zn3Ni after structural relaxation.

The structure in POSCAR format:
```
Th2Zn3Ni
1.0
3.577 0.000 0.000
0.000 4.479 0.000
0.000 0.000 7.773
Th Zn Ni
2 3 1
direct
0.000 0.000 0.000
0.000 0.500 0.457
0.500 0.000 0.643
0.500 0.500 0.141
0.500 0.500 0.806
0.500 0.000 0.311
```

Calculated values
Formation energy (eV/atom): -0.3211

(17)
VASP calculation (PBE-GGA) on ThZn4Ni4 after structural relaxation.

The structure in POSCAR format:
```
ThZn4Ni4
1.0
-4.081 4.081 2.046
4.081 -4.081 2.046
4.081 4.081 -2.046
Th Zn Ni
1 4 4
direct
0.000 0.000 0.000
0.099 0.618 0.718
0.382 0.099 0.481
0.618 0.901 0.519
0.901 0.382 0.282
0.288 0.376 0.664
0.376 0.712 0.088
0.624 0.288 0.912
0.712 0.624 0.336
```

Calculated values
Formation energy (eV/atom): -0.1636

(18)
VASP calculation (PBE-GGA) on ThZn3Ni after structural relaxation.

The structure in POSCAR format:
```
ThZn3Ni
1.0
4.570 0.000 0.000
0.000 4.570 0.000
0.000 0.000 4.570
Th Zn Ni
1 3 1
direct
0.000 0.000 0.000
0.000 0.500 0.500
0.500 0.000 0.500
0.500 0.500 0.000
0.500 0.500 0.500
```

Calculated values
Formation energy (eV/atom): -0.1403

(19)
VASP calculation (PBE-GGA) on ThZn4Ni2 after structural relaxation.

The structure in POSCAR format:
```
ThZn4Ni2
1.0
3.968 0.000 0.000
0.000 14.709 0.000
0.000 0.000 3.926
Th Zn Ni
2 8 4
direct
0.000 0.000 0.000
0.500 0.500 0.000
0.000 0.185 0.500
0.000 0.316 0.000
0.000 0.684 0.000
0.000 0.815 0.500
0.500 0.184 0.000
0.500 0.315 0.500
0.500 0.685 0.500
0.500 0.816 0.000
0.000 0.419 0.500
0.000 0.581 0.500
0.500 0.081 0.500
0.500 0.919 0.500
```

Calculated values
Offset from the most stable computed form (eV per atom): 0.054
Formation energy (eV/atom): -0.3015

(20)
VASP calculation (PBE-GGA) on ThZn2Ni6 after structural relaxation.

The structure in POSCAR format:
```
ThZn2Ni6
1.0
0.000 5.265 5.265
5.265 0.000 5.265
5.265 5.265 0.000
Th Zn Ni
2 4 12
direct
0.125 0.125 0.125
0.875 0.875 0.875
0.000 0.500 0.500
0.500 0.000 0.500
0.500 0.500 0.000
0.500 0.500 0.500
0.115 0.115 0.635
0.115 0.635 0.115
0.115 0.635 0.635
0.365 0.365 0.885
0.365 0.885 0.365
0.365 0.885 0.885
0.635 0.115 0.115
0.635 0.115 0.635
0.635 0.635 0.115
0.885 0.365 0.365
0.885 0.365 0.885
0.885 0.885 0.365
```

Calculated values
Formation energy (eV/atom): 0.2123

(21)
VASP calculation (PBE-GGA) on ThZn2Ni4 after structural relaxation.

The structure in POSCAR format:
```
ThZn2Ni4
1.0
7.127 0.000 0.000
0.000 7.127 0.000
0.000 0.000 5.053
Th Zn Ni
2 4 8
direct
0.000 0.000 0.000
0.500 0.500 0.500
0.000 0.500 0.250
0.000 0.500 0.750
0.500 0.000 0.250
0.500 0.000 0.750
0.000 0.222 0.500
0.000 0.778 0.500
0.222 0.000 0.500
0.278 0.500 0.000
0.500 0.278 0.000
0.500 0.722 0.000
0.722 0.500 0.000
0.778 0.000 0.500
```

Calculated values
Offset from the most stable computed form (eV per atom): 0.576
Formation energy (eV/atom): 0.2150

(22)
VASP calculation (PBE-GGA) on Th2Zn2Ni3 after structural relaxation.

The structure in POSCAR format:
```
Th2Zn2Ni3
1.0
12.851 0.000 0.000
0.000 4.147 0.000
-0.547 0.000 5.046
Th Zn Ni
4 4 6
direct
0.139 0.000 0.121
0.361 0.500 0.879
0.639 0.500 0.121
0.861 0.000 0.879
0.103 0.500 0.615
0.397 0.000 0.385
0.603 0.000 0.615
0.897 0.500 0.385
0.000 0.500 0.000
0.236 0.000 0.637
0.264 0.500 0.363
0.500 0.000 0.000
0.736 0.500 0.637
0.764 0.000 0.363
```

Calculated values
Offset from the most stable computed form (eV per atom): 0.077
Formation energy (eV/atom): -0.3389

The DOS at the Fermi energy results, record by record, are as follows: 8.142 12.976 8.628 9.244 8.663 11.161 17.554 7.014 10.340 6.437 7.061 7.192 7.280 5.925 1.947 6.334 3.556 1.662 6.136 9.403 13.430 4.652 states/eV per cell.
The calculated density results, record by record, are as follows: 10.3 9.2 9.8 10.8 10.1 9.9 8.5 9.2 9.8 10.3 8.5 10.9 10.3 8.2 10.0 9.6 8.9 8.5 8.9 8.1 7.7 9.5 Mg/m³.
The M_tot results, record by record, are as follows: 0.00 0.00 0.00 0.00 0.00 0.00 0.00 0.00 0.00 0.00 0.00 0.00 0.00 0.00 0.00 0.00 0.00 0.00 0.00 0.00 0.00 0.00 μB/f.u..